No. 1
! CaY2Sb2 PBEsol relaxed; values from VASP
&SYSTEM
  ibrav = 0, nat = 10, ntyp = 3
/
ATOMIC_SPECIES
Y 88.91 Y.upf
Sb 121.76 Sb.upf
Ca 40.08 Ca.upf
ATOMIC_POSITIONS crystal
Y 0.500 0.153 0.653
Y 0.500 0.653 0.847
Y 0.500 0.347 0.153
Y 0.500 0.847 0.347
Sb 0.000 0.352 0.852
Sb 0.000 0.852 0.648
Sb 0.000 0.148 0.352
Sb 0.000 0.648 0.148
Ca 0.000 0.000 0.000
Ca 0.000 0.500 0.500
CELL_PARAMETERS angstrom
4.118 0.000 0.000
0.000 8.209 0.000
0.000 0.000 8.209
! Symmetry = P4/mbm (127)
! Total magnetic moment = 0.000 μB per atom
! Theoretical density = 5.5 g/cm3
! Formation energy without anion corrections = -1.009 eV/atom

---

No. 2
! Ca2YSb PBEsol relaxed; values from VASP
&SYSTEM
  ibrav = 0, nat = 4, ntyp = 3
/
ATOMIC_SPECIES
Ca 40.08 Ca.upf
Y 88.91 Y.upf
Sb 121.76 Sb.upf
ATOMIC_POSITIONS crystal
Ca 0.000 0.000 0.000
Ca 0.750 0.250 0.500
Y 0.250 0.750 0.500
Sb 0.500 0.500 0.000
CELL_PARAMETERS angstrom
-2.796 2.611 -2.679
0.421 -3.104 -3.465
-3.066 -2.403 4.929
! ΔE to the lowest computed polymorph = 44 meV/atom
! Symmetry = I-4m2 (119)
! Total magnetic moment = 0.000 μB per atom
! Theoretical density = 4.1 g/cm3
! Formation energy without anion corrections = -0.444 eV/atom

---

No. 3
! CaY3Sb PBEsol relaxed; values from VASP
&SYSTEM
  ibrav = 0, nat = 5, ntyp = 3
/
ATOMIC_SPECIES
Y 88.91 Y.upf
Sb 121.76 Sb.upf
Ca 40.08 Ca.upf
ATOMIC_POSITIONS crystal
Y 0.000 0.500 0.000
Y 0.000 0.000 0.500
Y 0.500 0.000 0.000
Sb 0.500 0.500 0.500
Ca 0.000 0.000 0.000
CELL_PARAMETERS angstrom
5.358 0.000 0.000
0.000 5.358 0.000
0.000 0.000 5.358
! Symmetry = Pm-3m (221)
! Total magnetic moment = 0.000 μB per atom
! Theoretical density = 4.6 g/cm3
! Formation energy without anion corrections = 0.790 eV/atom

---

No. 4
! Ca2YSb PBEsol relaxed; values from VASP
&SYSTEM
  ibrav = 0, nat = 4, ntyp = 3
/
ATOMIC_SPECIES
Ca 40.08 Ca.upf
Y 88.91 Y.upf
Sb 121.76 Sb.upf
ATOMIC_POSITIONS crystal
Ca 0.500 0.500 0.274
Ca 0.000 0.000 0.987
Y 0.500 0.500 0.720
Sb 0.000 0.000 0.519
CELL_PARAMETERS angstrom
4.128 0.000 0.000
0.000 4.128 0.000
0.000 0.000 7.064
! ΔE to the lowest computed polymorph = 0 meV/atom
! Symmetry = P4mm (99)
! Total magnetic moment = 0.068 μB per atom
! Theoretical density = 4.0 g/cm3
! Formation energy without anion corrections = -0.487 eV/atom

---

No. 5
! Ca3YSb PBEsol relaxed; values from VASP
&SYSTEM
  ibrav = 0, nat = 5, ntyp = 3
/
ATOMIC_SPECIES
Y 88.91 Y.upf
Ca 40.08 Ca.upf
Sb 121.76 Sb.upf
ATOMIC_POSITIONS crystal
Y 0.500 0.500 0.500
Ca 0.000 0.500 0.000
Ca 0.500 0.000 0.000
Ca 0.000 0.000 0.500
Sb 0.000 0.000 0.000
CELL_PARAMETERS angstrom
5.864 0.000 0.000
0.000 5.864 0.000
0.000 0.000 5.864
! Symmetry = Pm-3m (221)
! Total magnetic moment = 0.000 μB per atom
! Theoretical density = 2.7 g/cm3
! Formation energy without anion corrections = -0.042 eV/atom

---

No. 6
! CaZnSb2 PBEsol relaxed; values from VASP
&SYSTEM
  ibrav = 0, nat = 4, ntyp = 3
/
ATOMIC_SPECIES
Sb 121.76 Sb.upf
Zn 65.41 Zn.upf
Ca 40.08 Ca.upf
ATOMIC_POSITIONS crystal
Sb 0.000 0.000 0.500
Sb 0.000 0.500 0.000
Zn 0.500 0.500 0.500
Ca 0.500 0.000 0.000
CELL_PARAMETERS angstrom
-1.075 3.592 -2.100
-1.822 -2.574 -3.471
-4.159 0.022 2.167
! Symmetry = P4/mmm (123)
! Total magnetic moment = 0.000 μB per atom
! Theoretical density = 6.1 g/cm3
! Formation energy without anion corrections = -0.380 eV/atom

---

No. 7
! CaZn2Sb PBEsol relaxed; values from VASP
&SYSTEM
  ibrav = 0, nat = 4, ntyp = 3
/
ATOMIC_SPECIES
Zn 65.41 Zn.upf
Sb 121.76 Sb.upf
Ca 40.08 Ca.upf
ATOMIC_POSITIONS crystal
Zn 0.056 0.056 0.113
Zn 0.718 0.218 0.435
Sb 0.246 0.746 0.493
Ca 0.480 0.480 0.960
CELL_PARAMETERS angstrom
4.114 0.000 0.000
0.000 4.223 0.000
-2.057 -2.111 5.059
! Symmetry = Imm2 (44)
! Total magnetic moment = 0.000 μB per atom
! Theoretical density = 5.5 g/cm3
! Formation energy without anion corrections = -0.237 eV/atom

---

No. 8
! CaZn3Sb PBEsol relaxed; values from VASP
&SYSTEM
  ibrav = 0, nat = 5, ntyp = 3
/
ATOMIC_SPECIES
Ca 40.08 Ca.upf
Zn 65.41 Zn.upf
Sb 121.76 Sb.upf
ATOMIC_POSITIONS crystal
Ca 0.000 0.000 0.000
Zn 0.500 0.000 0.000
Zn 0.000 0.500 0.000
Zn 0.000 0.000 0.500
Sb 0.500 0.500 0.500
CELL_PARAMETERS angstrom
-0.999 5.129 -0.224
-5.057 -0.944 0.944
0.885 0.396 5.139
! Symmetry = Pm-3m (221)
! Total magnetic moment = 0.000 μB per atom
! Theoretical density = 4.2 g/cm3
! Formation energy without anion corrections = 0.933 eV/atom

---

No. 9
! Ca2ZnSb PBEsol relaxed; values from VASP
&SYSTEM
  ibrav = 0, nat = 4, ntyp = 3
/
ATOMIC_SPECIES
Ca 40.08 Ca.upf
Sb 121.76 Sb.upf
Zn 65.41 Zn.upf
ATOMIC_POSITIONS crystal
Ca 0.000 0.000 0.500
Ca 0.000 0.500 0.000
Sb 0.500 0.500 0.500
Zn 0.500 0.000 0.000
CELL_PARAMETERS angstrom
-3.214 2.581 -0.533
-2.115 -1.784 4.118
2.328 3.456 2.693
! ΔE to the lowest computed polymorph = 45 meV/atom
! Symmetry = P4/mmm (123)
! Total magnetic moment = 0.000 μB per atom
! Theoretical density = 4.3 g/cm3
! Formation energy without anion corrections = -0.630 eV/atom

---

No. 10
! Ca2ZnSb2 PBEsol relaxed; values from VASP
&SYSTEM
  ibrav = 0, nat = 45, ntyp = 3
/
ATOMIC_SPECIES
Sb 121.76 Sb.upf
Ca 40.08 Ca.upf
Zn 65.41 Zn.upf
ATOMIC_POSITIONS crystal
Sb 0.000 0.694 0.490
Sb 0.500 0.312 0.833
Sb 0.000 0.635 0.810
Sb 0.000 0.804 0.001
Sb 0.500 0.544 0.354
Sb 0.500 0.462 0.650
Sb 0.000 0.381 0.196
Sb 0.500 0.494 0.004
Sb 0.000 0.884 0.305
Sb 0.500 0.954 0.853
Sb 0.000 0.191 0.006
Sb 0.500 0.694 0.169
Sb 0.500 0.044 0.147
Sb 0.500 0.003 0.499
Sb 0.000 0.119 0.694
Sb 0.500 0.194 0.333
Sb 0.000 0.310 0.508
Sb 0.500 0.809 0.663
Ca 0.000 0.378 0.736
Ca 0.000 0.934 0.585
Ca 0.000 0.370 0.364
Ca 0.500 0.213 0.600
Ca 0.500 0.793 0.395
Ca 0.000 0.632 0.632
Ca 0.000 0.623 0.265
Ca 0.500 0.002 0.004
Ca 0.000 0.138 0.862
Ca 0.000 0.881 0.749
Ca 0.500 0.685 0.906
Ca 0.500 0.288 0.106
Ca 0.500 0.502 0.500
Ca 0.000 0.070 0.409
Ca 0.000 0.870 0.143
Ca 0.000 0.430 0.913
Ca 0.000 0.561 0.095
Ca 0.000 0.127 0.238
Zn 0.500 0.386 0.264
Zn 0.000 0.848 0.883
Zn 0.500 0.271 0.955
Zn 0.500 0.891 0.239
Zn 0.500 0.626 0.738
Zn 0.500 0.129 0.759
Zn 0.500 0.229 0.454
Zn 0.500 0.776 0.541
Zn 0.500 0.716 0.048
CELL_PARAMETERS angstrom
-4.059 0.415 1.952
-4.339 -9.023 -7.104
5.794 -14.359 15.097
! Symmetry = Pm (6)
! Total magnetic moment = 0.000 μB per atom
! Theoretical density = 4.8 g/cm3
! Formation energy without anion corrections = -0.807 eV/atom

---

No. 11
! CaZn2Sb PBEsol relaxed; values from VASP
&SYSTEM
  ibrav = 0, nat = 4, ntyp = 3
/
ATOMIC_SPECIES
Ca 40.08 Ca.upf
Zn 65.41 Zn.upf
Sb 121.76 Sb.upf
ATOMIC_POSITIONS crystal
Ca 0.000 0.000 0.000
Zn 0.250 0.750 0.500
Zn 0.750 0.250 0.500
Sb 0.500 0.500 0.000
CELL_PARAMETERS angstrom
4.351 0.000 0.000
0.000 4.351 0.000
-2.175 -2.175 4.488
! Symmetry = I4/mmm (139)
! Total magnetic moment = 0.000 μB per atom
! Theoretical density = 5.7 g/cm3
! Formation energy without anion corrections = -0.250 eV/atom

---

No. 12
! Ca2ZnSb PBEsol relaxed; values from VASP
&SYSTEM
  ibrav = 0, nat = 4, ntyp = 3
/
ATOMIC_SPECIES
Sb 121.76 Sb.upf
Zn 65.41 Zn.upf
Ca 40.08 Ca.upf
ATOMIC_POSITIONS crystal
Sb 0.000 0.000 0.400
Zn 0.500 0.500 0.849
Ca 0.000 0.000 0.898
Ca 0.500 0.500 0.353
CELL_PARAMETERS angstrom
-2.659 0.848 3.424
-2.640 -3.322 -1.227
3.250 -3.868 3.482
! ΔE to the lowest computed polymorph = 307 meV/atom
! Symmetry = P4mm (99)
! Total magnetic moment = 0.001 μB per atom
! Theoretical density = 3.7 g/cm3
! Formation energy without anion corrections = -0.368 eV/atom